# La3Tb6PmTm2 (GGA-PBE, relaxed)
# **Crystal system**: monoclinic
# **E_tot**: -0.17148 hartree per atom
data_La3Tb6PmTm2
_cell_length_a 6.241
_cell_length_b 10.814
_cell_length_c 11.939
_cell_angle_alpha 90.00
_cell_angle_beta 100.05
_cell_angle_gamma 90.00
_symmetry_space_group_name_H-M 'C 1 2/m 1'
_symmetry_Int_Tables_number 12
loop_
_symmetry_equiv_pos_as_xyz
'x,y,z'
'-x,-y,-z'
'-x,y,-z'
'x,-y,z'
'x+1/2,y+1/2,z'
'-x+1/2,-y+1/2,-z'
'-x+1/2,y+1/2,-z'
'x+1/2,-y+1/2,z'
loop_
_atom_site_label
_atom_site_fract_x
_atom_site_fract_y
_atom_site_fract_z
_atom_site_occupancy
La1 0.000 0.000 0.000 1
La2 0.000 0.333 0.000 1
Tb1 0.247 0.000 0.744 1
Tb2 0.248 0.333 0.744 1
Pm1 0.000 0.500 0.500 1
Tm1 0.000 0.167 0.500 1

=====

# La2Tb3Pm6Tm (GGA-PBE, relaxed)
# **Crystal system**: monoclinic
# **E_tot**: -0.17302 hartree per atom
data_La2Tb3Pm6Tm
_cell_length_a 6.295
_cell_length_b 10.904
_cell_length_c 12.046
_cell_angle_alpha 90.00
_cell_angle_beta 100.09
_cell_angle_gamma 90.00
_symmetry_space_group_name_H-M 'C 1 2/m 1'
_symmetry_Int_Tables_number 12
loop_
_symmetry_equiv_pos_as_xyz
'x,y,z'
'-x,-y,-z'
'-x,y,-z'
'x,-y,z'
'x+1/2,y+1/2,z'
'-x+1/2,-y+1/2,-z'
'-x+1/2,y+1/2,-z'
'x+1/2,-y+1/2,z'
loop_
_atom_site_label
_atom_site_fract_x
_atom_site_fract_y
_atom_site_fract_z
_atom_site_occupancy
La1 0.000 0.167 0.000 1
Tb1 0.000 0.000 0.500 1
Tb2 0.000 0.334 0.500 1
Pm1 0.247 0.500 0.746 1
Pm2 0.250 0.166 0.747 1
Tm1 0.000 0.500 0.000 1

=====

# La5TbPm2Tm (GGA-PBE, relaxed)
# **Crystal system**: tetragonal
# **E_tot**: -0.16644 hartree per atom
data_La5TbPm2Tm
_cell_length_a 8.652
_cell_length_b 8.652
_cell_length_c 17.268
_cell_angle_alpha 90.00
_cell_angle_beta 90.00
_cell_angle_gamma 90.00
_symmetry_space_group_name_H-M 'I 4/m c m'
_symmetry_Int_Tables_number 140
_symmetry_space_group_name_Hall '-I 4 2c'
loop_
_atom_site_label
_atom_site_fract_x
_atom_site_fract_y
_atom_site_fract_z
_atom_site_occupancy
La1 0.000 0.000 0.000 1
La2 0.220 0.280 0.143 1
Tb1 0.000 0.000 0.250 1
Pm1 0.123 0.377 0.500 1
Tm1 0.000 0.500 0.250 1

=====

# LaTbPm5Tm2 (GGA-PBE, relaxed)
# **Crystal system**: orthorhombic
# **E_tot**: -0.16687 hartree per atom
data_LaTbPm5Tm2
_cell_length_a 5.695
_cell_length_b 20.254
_cell_length_c 10.630
_cell_angle_alpha 90.00
_cell_angle_beta 90.00
_cell_angle_gamma 90.00
_symmetry_space_group_name_H-M 'C m c 21'
_symmetry_Int_Tables_number 36
loop_
_symmetry_equiv_pos_as_xyz
'x,y,z'
'-x,-y,z+1/2'
'-x,y,z'
'x,-y,z+1/2'
'x+1/2,y+1/2,z'
'-x+1/2,-y+1/2,z+1/2'
'-x+1/2,y+1/2,z'
'x+1/2,-y+1/2,z+1/2'
loop_
_atom_site_label
_atom_site_fract_x
_atom_site_fract_y
_atom_site_fract_z
_atom_site_occupancy
La1 0.000 0.084 0.000 1
Tb1 0.000 0.301 0.563 1
Pm1 0.000 0.021 0.291 1
Pm2 0.000 0.114 0.576 1
Pm3 0.000 0.204 0.258 1
Pm4 0.000 0.220 0.865 1
Pm5 0.000 0.483 0.575 1
Tm1 0.000 0.385 0.871 1
Tm2 0.000 0.387 0.285 1

=====

# LaTbPm2Tm5 (GGA-PBE, relaxed)
# **Crystal system**: tetragonal
# **E_tot**: -0.15983 hartree per atom
data_LaTbPm2Tm5
_cell_length_a 8.623
_cell_length_b 8.623
_cell_length_c 15.506
_cell_angle_alpha 90.00
_cell_angle_beta 90.00
_cell_angle_gamma 90.00
_symmetry_space_group_name_H-M 'I 4/m c m'
_symmetry_Int_Tables_number 140
_symmetry_space_group_name_Hall '-I 4 2c'
loop_
_atom_site_label
_atom_site_fract_x
_atom_site_fract_y
_atom_site_fract_z
_atom_site_occupancy
La1 0.000 0.500 0.250 1
Tb1 0.000 0.000 0.250 1
Pm1 0.118 0.382 0.000 1
Tm1 0.000 0.000 0.000 1
Tm2 0.208 0.292 0.363 1

=====

# LaTbPm2Tm (GGA-PBE, relaxed)
# **Crystal system**: monoclinic
# **E_tot**: -0.16256 hartree per atom
data_LaTbPm2Tm
_cell_length_a 8.620
_cell_length_b 6.489
_cell_length_c 6.302
_cell_angle_alpha 90.00
_cell_angle_beta 98.41
_cell_angle_gamma 90.00
_symmetry_space_group_name_H-M 'P 1 2/c 1'
_symmetry_Int_Tables_number 13
loop_
_symmetry_equiv_pos_as_xyz
'x,y,z'
'-x,-y,-z'
'-x,y,-z+1/2'
'x,-y,z+1/2'
loop_
_atom_site_label
_atom_site_fract_x
_atom_site_fract_y
_atom_site_fract_z
_atom_site_occupancy
La1 0.000 0.000 0.000 1
Tb1 0.000 0.445 0.250 1
Pm1 0.315 0.314 0.703 1
Tm1 0.500 0.166 0.250 1

=====

# LaTb2PmTm4 (GGA-PBE, relaxed)
# **Crystal system**: monoclinic
# **E_tot**: -0.16824 hartree per atom
data_LaTb2PmTm4
_cell_length_a 7.154
_cell_length_b 9.944
_cell_length_c 7.167
_cell_angle_alpha 90.00
_cell_angle_beta 90.08
_cell_angle_gamma 90.00
_symmetry_space_group_name_H-M 'P 1 2/m 1'
_symmetry_Int_Tables_number 10
loop_
_symmetry_equiv_pos_as_xyz
'x,y,z'
'-x,-y,-z'
'-x,y,-z'
'x,-y,z'
loop_
_atom_site_label
_atom_site_fract_x
_atom_site_fract_y
_atom_site_fract_z
_atom_site_occupancy
La1 0.000 0.000 0.000 1
La2 0.500 0.000 0.000 1
Tb1 0.000 0.000 0.500 1
Tb2 0.000 0.500 0.000 1
Tb3 0.000 0.500 0.500 1
Tb4 0.500 0.500 0.500 1
Pm1 0.500 0.000 0.500 1
Pm2 0.500 0.500 0.000 1
Tm1 0.249 0.253 0.253 1
Tm2 0.249 0.253 0.747 1

=====

# LaTb4PmTm2 (GGA-PBE, relaxed)
# **Crystal system**: monoclinic
# **E_tot**: -0.16982 hartree per atom
data_LaTb4PmTm2
_cell_length_a 7.162
_cell_length_b 7.172
_cell_length_c 10.091
_cell_angle_alpha 90.00
_cell_angle_beta 90.03
_cell_angle_gamma 90.00
_symmetry_space_group_name_H-M 'P 1 2/m 1'
_symmetry_Int_Tables_number 10
loop_
_symmetry_equiv_pos_as_xyz
'x,y,z'
'-x,-y,-z'
'-x,y,-z'
'x,-y,z'
loop_
_atom_site_label
_atom_site_fract_x
_atom_site_fract_y
_atom_site_fract_z
_atom_site_occupancy
La1 0.000 0.000 0.000 1
La2 0.000 0.500 0.000 1
Tb1 0.253 0.248 0.746 1
Tb2 0.254 0.248 0.254 1
Pm1 0.000 0.500 0.500 1
Pm2 0.500 0.500 0.000 1
Tm1 0.000 0.000 0.500 1
Tm2 0.500 0.000 0.000 1
Tm3 0.500 0.000 0.500 1
Tm4 0.500 0.500 0.500 1

=====

# LaTb2Pm6Tm (GGA-PBE, relaxed)
# **Crystal system**: monoclinic
# **E_tot**: -0.16910 hartree per atom
data_LaTb2Pm6Tm
_cell_length_a 9.294
_cell_length_b 15.275
_cell_length_c 9.693
_cell_angle_alpha 90.00
_cell_angle_beta 96.74
_cell_angle_gamma 90.00
_symmetry_space_group_name_H-M 'C 1 2/c 1'
_symmetry_Int_Tables_number 15
loop_
_symmetry_equiv_pos_as_xyz
'x,y,z'
'-x,-y,-z'
'-x,y,-z+1/2'
'x,-y,z+1/2'
'x+1/2,y+1/2,z'
'-x+1/2,-y+1/2,-z'
'-x+1/2,y+1/2,-z+1/2'
'x+1/2,-y+1/2,z+1/2'
loop_
_atom_site_label
_atom_site_fract_x
_atom_site_fract_y
_atom_site_fract_z
_atom_site_occupancy
La1 0.000 0.027 0.250 1
Tb1 0.247 0.449 0.452 1
Pm1 0.063 0.183 0.944 1
Pm2 0.098 0.392 0.118 1
Pm3 0.214 0.224 0.315 1
Tm1 0.000 0.411 0.750 1

=====

# La2TbPm2Tm (GGA-PBE, relaxed)
# **Crystal system**: orthorhombic
# **E_tot**: -0.17222 hartree per atom
data_La2TbPm2Tm
_cell_length_a 7.112
_cell_length_b 5.747
_cell_length_c 9.950
_cell_angle_alpha 90.00
_cell_angle_beta 90.00
_cell_angle_gamma 90.00
_symmetry_space_group_name_H-M 'P m m a'
_symmetry_Int_Tables_number 51
loop_
_symmetry_equiv_pos_as_xyz
'x,y,z'
'-x,-y,-z'
'-x+1/2,-y,z'
'x+1/2,y,-z'
'x+1/2,-y,-z'
'-x+1/2,y,z'
'-x,y,-z'
'x,-y,z'
loop_
_atom_site_label
_atom_site_fract_x
_atom_site_fract_y
_atom_site_fract_z
_atom_site_occupancy
La1 0.000 0.000 0.000 1
La2 0.250 0.500 0.179 1
Tb1 0.250 0.000 0.656 1
Pm1 0.250 0.000 0.332 1
Pm2 0.250 0.500 0.835 1
Tm1 0.000 0.500 0.500 1